First-principles (GGA-PBE) data for a geometry-optimized AsRu2Pt structure, as listed in Alexandria.

The structure in CIF format:
```
data_AsRu2Pt
_space_group_name_H-M_alt 'P 1'
_space_group_IT_number 1
_cell_length_a 5.268
_cell_length_b 5.268
_cell_length_c 5.268
_cell_angle_alpha 147.78
_cell_angle_beta 129.55
_cell_angle_gamma 61.13
loop_
_space_group_symop_operation_xyz
'x,y,z'
loop_
_atom_site_label
_atom_site_fract_x
_atom_site_fract_y
_atom_site_fract_z
_atom_site_occupancy
Ru1 0.964 0.964 0.000 1
Ru2 0.536 0.536 0.000 1
As1 0.750 0.250 0.500 1
Pt1 0.250 0.750 0.500 1
```

Properties
uncorrected energy: -7.224 eV per atom
formation energy from the elements: 86.7 meV/atom
Fermi-level density of states: 0.957 states/eV per atom
volume: 14.9 A^3/atom

First-principles (GGA-PBE) data for a geometry-optimized As2RuPt structure, as listed in Alexandria.

The structure in CIF format:
```
data_As2RuPt
_space_group_name_H-M_alt 'P 1'
_space_group_IT_number 1
_cell_length_a 4.783
_cell_length_b 4.783
_cell_length_c 4.570
_cell_angle_alpha 76.89
_cell_angle_beta 76.89
_cell_angle_gamma 39.93
loop_
_space_group_symop_operation_xyz
'x,y,z'
loop_
_atom_site_label
_atom_site_fract_x
_atom_site_fract_y
_atom_site_fract_z
_atom_site_occupancy
Ru1 0.267 0.267 0.207 1
As1 0.991 0.991 0.077 1
As2 0.753 0.753 0.653 1
Pt1 0.489 0.489 0.563 1
```

Properties
distance to the lowest polymorph of the same formula: 80 meV/atom
uncorrected energy: -6.224 eV per atom
formation energy from the elements: -70.1 meV/atom
Fermi-level density of states: 0.607 states/eV per atom
volume: 16.3 A^3/atom

First-principles (GGA-PBE) data for a geometry-optimized AsRu2Pt structure, as listed in Alexandria.

The structure in CIF format:
```
data_AsRu2Pt
_space_group_name_H-M_alt 'P 1'
_space_group_IT_number 1
_cell_length_a 2.839
_cell_length_b 2.839
_cell_length_c 7.503
_cell_angle_alpha 90.00
_cell_angle_beta 90.00
_cell_angle_gamma 90.00
loop_
_space_group_symop_operation_xyz
'x,y,z'
loop_
_atom_site_label
_atom_site_fract_x
_atom_site_fract_y
_atom_site_fract_z
_atom_site_occupancy
Ru1 0.000 0.000 0.016 1
Ru2 0.500 0.500 0.244 1
As1 0.000 0.000 0.482 1
Pt1 0.500 0.500 0.758 1
```

Properties
uncorrected energy: -7.202 eV per atom
formation energy from the elements: 108.7 meV/atom
Fermi-level density of states: 0.833 states/eV per atom
volume: 15.1 A^3/atom

First-principles (GGA-PBE) data for a geometry-optimized AsRu2Pt structure, as listed in Alexandria.

The structure in CIF format:
```
data_AsRu2Pt
_space_group_name_H-M_alt 'P 1'
_space_group_IT_number 1
_cell_length_a 4.410
_cell_length_b 4.410
_cell_length_c 4.410
_cell_angle_alpha 60.00
_cell_angle_beta 60.00
_cell_angle_gamma 60.00
loop_
_space_group_symop_operation_xyz
'x,y,z'
loop_
_atom_site_label
_atom_site_fract_x
_atom_site_fract_y
_atom_site_fract_z
_atom_site_occupancy
Ru1 0.000 0.000 0.000 1
Ru2 0.250 0.250 0.250 1
As1 0.500 0.500 0.500 1
Pt1 0.750 0.750 0.750 1
```

Properties
uncorrected energy: -6.939 eV per atom
formation energy from the elements: 371.2 meV/atom
Fermi-level density of states: 1.873 states/eV per atom
volume: 15.2 A^3/atom

First-principles (GGA-PBE) data for a geometry-optimized As2RuPt structure, as listed in Alexandria.

The structure in CIF format:
```
data_As2RuPt
_space_group_name_H-M_alt 'P 1'
_space_group_IT_number 1
_cell_length_a 4.423
_cell_length_b 4.423
_cell_length_c 3.224
_cell_angle_alpha 90.00
_cell_angle_beta 90.00
_cell_angle_gamma 90.00
loop_
_space_group_symop_operation_xyz
'x,y,z'
loop_
_atom_site_label
_atom_site_fract_x
_atom_site_fract_y
_atom_site_fract_z
_atom_site_occupancy
Ru1 0.000 0.500 0.500 1
As1 0.000 0.000 0.000 1
As2 0.500 0.500 0.000 1
Pt1 0.500 0.000 0.500 1
```

Properties
distance to the lowest polymorph of the same formula: 222 meV/atom
uncorrected energy: -6.082 eV per atom
formation energy from the elements: 71.9 meV/atom
Fermi-level density of states: 0.923 states/eV per atom
volume: 15.8 A^3/atom

First-principles (GGA-PBE) data for a geometry-optimized AsRu2Pt structure, as listed in Alexandria.

The structure in CIF format:
```
data_AsRu2Pt
_space_group_name_H-M_alt 'P 1'
_space_group_IT_number 1
_cell_length_a 6.511
_cell_length_b 4.549
_cell_length_c 2.891
_cell_angle_alpha 89.99
_cell_angle_beta 63.65
_cell_angle_gamma 125.07
loop_
_space_group_symop_operation_xyz
'x,y,z'
loop_
_atom_site_label
_atom_site_fract_x
_atom_site_fract_y
_atom_site_fract_z
_atom_site_occupancy
Ru1 0.000 0.000 0.000 1
Ru2 0.500 0.000 0.500 1
As1 0.000 0.500 0.500 1
Pt1 0.500 0.500 0.000 1
```

Properties
uncorrected energy: -7.221 eV per atom
formation energy from the elements: 89.2 meV/atom
Fermi-level density of states: 0.939 states/eV per atom
volume: 14.7 A^3/atom

First-principles (GGA-PBE) data for a geometry-optimized AsRu2Pt structure, as listed in Alexandria.

The structure in CIF format:
```
data_AsRu2Pt
_space_group_name_H-M_alt 'P 1'
_space_group_IT_number 1
_cell_length_a 2.826
_cell_length_b 3.808
_cell_length_c 5.623
_cell_angle_alpha 90.00
_cell_angle_beta 90.00
_cell_angle_gamma 90.00
loop_
_space_group_symop_operation_xyz
'x,y,z'
loop_
_atom_site_label
_atom_site_fract_x
_atom_site_fract_y
_atom_site_fract_z
_atom_site_occupancy
Ru1 0.000 0.000 0.026 1
Ru2 0.500 0.500 0.236 1
As1 0.000 0.000 0.476 1
Pt1 0.500 0.500 0.763 1
```

Properties
uncorrected energy: -7.201 eV per atom
formation energy from the elements: 109.8 meV/atom
Fermi-level density of states: 0.776 states/eV per atom
volume: 15.1 A^3/atom

First-principles (GGA-PBE) data for a geometry-optimized AsRu2Pt structure, as listed in Alexandria.

The structure in CIF format:
```
data_AsRu2Pt
_space_group_name_H-M_alt 'P 1'
_space_group_IT_number 1
_cell_length_a 3.925
_cell_length_b 2.935
_cell_length_c 5.426
_cell_angle_alpha 72.81
_cell_angle_beta 90.00
_cell_angle_gamma 90.00
loop_
_space_group_symop_operation_xyz
'x,y,z'
loop_
_atom_site_label
_atom_site_fract_x
_atom_site_fract_y
_atom_site_fract_z
_atom_site_occupancy
Ru1 0.000 0.118 0.011 1
Ru2 0.000 0.382 0.489 1
As1 0.500 0.250 0.250 1
Pt1 0.500 0.750 0.750 1
```

Properties
uncorrected energy: -7.282 eV per atom
formation energy from the elements: 28.4 meV/atom
Fermi-level density of states: 0.901 states/eV per atom
volume: 14.9 A^3/atom

First-principles (GGA-PBE) data for a geometry-optimized As2RuPt structure, as listed in Alexandria.

The structure in CIF format:
```
data_As2RuPt
_space_group_name_H-M_alt 'P 1'
_space_group_IT_number 1
_cell_length_a 8.082
_cell_length_b 8.082
_cell_length_c 8.082
_cell_angle_alpha 21.71
_cell_angle_beta 21.71
_cell_angle_gamma 21.71
loop_
_space_group_symop_operation_xyz
'x,y,z'
loop_
_atom_site_label
_atom_site_fract_x
_atom_site_fract_y
_atom_site_fract_z
_atom_site_occupancy
Ru1 0.250 0.250 0.250 1
As1 0.996 0.996 0.996 1
As2 0.504 0.504 0.504 1
Pt1 0.750 0.750 0.750 1
```

Properties
distance to the lowest polymorph of the same formula: 113 meV/atom
uncorrected energy: -6.192 eV per atom
formation energy from the elements: -38.0 meV/atom
Fermi-level density of states: 0.849 states/eV per atom
volume: 15.8 A^3/atom

First-principles (GGA-PBE) data for a geometry-optimized AsRu2Pt structure, as listed in Alexandria.

The structure in CIF format:
```
data_AsRu2Pt
_space_group_name_H-M_alt 'P 1'
_space_group_IT_number 1
_cell_length_a 8.458
_cell_length_b 8.458
_cell_length_c 8.458
_cell_angle_alpha 19.53
_cell_angle_beta 19.53
_cell_angle_gamma 19.53
loop_
_space_group_symop_operation_xyz
'x,y,z'
loop_
_atom_site_label
_atom_site_fract_x
_atom_site_fract_y
_atom_site_fract_z
_atom_site_occupancy
Ru1 0.993 0.993 0.993 1
Ru2 0.507 0.507 0.507 1
As1 0.250 0.250 0.250 1
Pt1 0.750 0.750 0.750 1
```

Properties
uncorrected energy: -7.220 eV per atom
formation energy from the elements: 90.2 meV/atom
Fermi-level density of states: 1.832 states/eV per atom
volume: 14.8 A^3/atom